# 1
Computed, not measured: a geometry-optimized AcLa2Ni structure at the GGA-PBE level of DFT.

abc: 7.337 10.414 6.687
angles: 90.00 90.00 90.00
Fractional coordinates of all 16 atoms:
Ac 0.036 0.250 0.150
Ac 0.464 0.750 0.650
Ac 0.536 0.250 0.350
Ac 0.964 0.750 0.850
La 0.173 0.071 0.674
La 0.173 0.429 0.674
La 0.327 0.571 0.174
La 0.327 0.929 0.174
La 0.673 0.071 0.826
La 0.673 0.429 0.826
La 0.827 0.571 0.326
La 0.827 0.929 0.326
Ni 0.113 0.750 0.403
Ni 0.387 0.250 0.903
Ni 0.613 0.750 0.097
Ni 0.887 0.250 0.597

Properties
relative energy among the computed polymorphs	0.00	eV/f.u.
crystal system	orthorhombic
E_form	-0.177	eV/atom

---

# 2
Computed, not measured: a geometry-optimized AcLa2Ni structure at the GGA-PBE level of DFT.

abc: 5.219 7.727 6.718
angles: 90.00 112.81 90.00
Fractional coordinates of all 8 atoms:
Ac 0.036 0.250 0.071
Ac 0.964 0.750 0.929
La 0.346 0.028 0.692
La 0.346 0.472 0.692
La 0.654 0.528 0.308
La 0.654 0.972 0.308
Ni 0.201 0.750 0.407
Ni 0.799 0.250 0.593

Properties
relative energy among the computed polymorphs	0.09	eV/f.u.
crystal system	monoclinic
E_form	-0.155	eV/atom

---

# 3
Computed, not measured: a geometry-optimized AcLa3Ni2 structure at the GGA-PBE level of DFT.

abc: 8.729 8.729 12.550
angles: 123.96 123.96 27.04
Fractional coordinates of all 12 atoms:
Ac 0.150 0.150 0.247
Ac 0.850 0.850 0.753
La 0.155 0.155 0.754
La 0.409 0.409 0.054
La 0.411 0.411 0.550
La 0.589 0.589 0.450
La 0.591 0.591 0.946
La 0.845 0.845 0.246
Ni 0.231 0.231 0.547
Ni 0.234 0.234 0.051
Ni 0.766 0.766 0.949
Ni 0.769 0.769 0.453

Properties
crystal system	monoclinic
E_form	-0.215	eV/atom

---

# 4
Computed, not measured: a geometry-optimized AcLaNi2 structure at the GGA-PBE level of DFT.

abc: 3.955 4.380 5.953
angles: 90.00 109.28 90.00
Fractional coordinates of all 4 atoms:
Ac 0.000 0.000 0.000
La 0.268 0.500 0.537
Ni 0.572 0.500 0.145
Ni 0.712 0.000 0.424

Properties
relative energy among the computed polymorphs	0.00	eV/f.u.
crystal system	monoclinic
E_form	-0.291	eV/atom

---

# 5
Computed, not measured: a geometry-optimized AcLa5Ni2 structure at the GGA-PBE level of DFT.

abc: 5.191 7.746 12.716
angles: 90.00 90.00 90.00
Fractional coordinates of all 16 atoms:
Ac 0.000 0.000 0.000
Ac 0.500 0.500 0.500
La 0.000 0.227 0.346
La 0.000 0.227 0.654
La 0.000 0.500 0.000
La 0.000 0.773 0.346
La 0.000 0.773 0.654
La 0.500 0.000 0.500
La 0.500 0.273 0.154
La 0.500 0.273 0.846
La 0.500 0.727 0.154
La 0.500 0.727 0.846
Ni 0.000 0.500 0.209
Ni 0.000 0.500 0.791
Ni 0.500 0.000 0.291
Ni 0.500 0.000 0.709

Properties
crystal system	orthorhombic
E_form	-0.109	eV/atom

---

# 6
Computed, not measured: a geometry-optimized AcLa12Ni6 structure at the GGA-PBE level of DFT.

abc: 8.998 8.998 8.998
angles: 109.47 109.47 109.47
Fractional coordinates of all 19 atoms:
Ac 0.000 0.000 0.000
La 0.131 0.317 0.815
La 0.185 0.502 0.317
La 0.185 0.869 0.683
La 0.317 0.185 0.502
La 0.317 0.815 0.131
La 0.498 0.683 0.815
La 0.502 0.317 0.185
La 0.683 0.185 0.869
La 0.683 0.815 0.498
La 0.815 0.131 0.317
La 0.815 0.498 0.683
La 0.869 0.683 0.185
Ni 0.123 0.500 0.623
Ni 0.377 0.877 0.500
Ni 0.500 0.377 0.877
Ni 0.500 0.623 0.123
Ni 0.623 0.123 0.500
Ni 0.877 0.500 0.377

Properties
crystal system	cubic
E_form	-0.210	eV/atom

---

# 7
Computed, not measured: a geometry-optimized AcLaNi3 structure at the GGA-PBE level of DFT.

abc: 12.753 12.753 4.162
angles: 90.00 90.00 161.31
Fractional coordinates of all 10 atoms:
Ac 0.071 0.929 0.750
Ac 0.929 0.071 0.250
La 0.202 0.798 0.250
La 0.798 0.202 0.750
Ni 0.326 0.674 0.250
Ni 0.379 0.621 0.750
Ni 0.475 0.525 0.750
Ni 0.525 0.475 0.250
Ni 0.621 0.379 0.250
Ni 0.674 0.326 0.750

Properties
crystal system	orthorhombic
E_form	-0.296	eV/atom

---

# 8
Computed, not measured: a geometry-optimized Ac3LaNi8 structure at the GGA-PBE level of DFT.

abc: 9.224 9.224 9.224
angles: 33.54 33.54 33.54
Fractional coordinates of all 12 atoms:
Ac 0.000 0.000 0.000
Ac 0.126 0.126 0.126
Ac 0.620 0.620 0.620
La 0.496 0.496 0.496
Ni 0.059 0.059 0.562
Ni 0.059 0.562 0.059
Ni 0.061 0.562 0.562
Ni 0.311 0.311 0.311
Ni 0.562 0.059 0.059
Ni 0.562 0.061 0.562
Ni 0.562 0.562 0.061
Ni 0.811 0.811 0.811

Properties
crystal system	trigonal
E_form	-0.197	eV/atom

---

Copy entry 3 word for word.
Computed, not measured: a geometry-optimized AcLa3Ni2 structure at the GGA-PBE level of DFT.

abc: 8.729 8.729 12.550
angles: 123.96 123.96 27.04
Fractional coordinates of all 12 atoms:
Ac 0.150 0.150 0.247
Ac 0.850 0.850 0.753
La 0.155 0.155 0.754
La 0.409 0.409 0.054
La 0.411 0.411 0.550
La 0.589 0.589 0.450
La 0.591 0.591 0.946
La 0.845 0.845 0.246
Ni 0.231 0.231 0.547
Ni 0.234 0.234 0.051
Ni 0.766 0.766 0.949
Ni 0.769 0.769 0.453

Properties
crystal system	monoclinic
E_form	-0.215	eV/atom